## HfTiFe2O (PBE+U)

Data for crystalline HfTiFe2O at its relaxed geometry.

The structure in POSCAR format:
```
HfTiFe2O
1.0
4.3202 0.0000 0.0000
0.0000 4.3202 0.0000
0.0000 0.0000 4.0956
Hf Ti Fe O
1 1 2 1
Cartesian
0.0000 0.0000 0.0000
2.1601 2.1601 0.0000
0.0000 2.1601 2.0478
2.1601 0.0000 2.0478
2.1601 2.1601 2.0478
```

Calculated values
* DOS(E_F): 3.4 states/eV/cell
* VASP energy: -7.054 eV/atom